No. 1
Compound: MnTl2Cd
Source: Alexandria via LeMat-Bulk
Functional: GGA-PBE
Structure: optimized geometry

Structure (extended XYZ):
```
4
Lattice="0.0000 3.6639 3.6639 3.6639 0.0000 3.6639 3.6639 3.6639 0.0000" Properties=species:S:1:pos:R:3 pbc="T T T"
Mn 0.0000 0.0000 0.0000
Tl 3.6639 3.6639 3.6639
Tl 5.4958 5.4958 5.4958
Cd 1.8319 1.8319 1.8319
```

Properties
**Energy of formation**: 0.423 eV/atom
**VASP energy**: -3.281 eV per atom
**Distance to the lowest polymorph of the same formula**: 0.155 eV/atom
**V**: 98.37 Å³ per cell


No. 2
Compound: KLa2Ce3Te6
Source: Alexandria via LeMat-Bulk
Functional: GGA-PBE
Structure: optimized geometry

Structure (extended XYZ):
```
12
Lattice="10.0389 -2.2665 0.0000 10.0389 2.2665 0.0000 -2.2501 0.0000 9.0072" Properties=species:S:1:pos:R:3 pbc="T T T"
K 0.0000 0.0000 0.0000
La 5.1528 0.0000 5.9543
La 12.6749 0.0000 3.0529
Ce -1.1251 0.0000 4.5036
Ce 6.3519 0.0000 1.5363
Ce 11.4758 0.0000 7.4709
Te 1.9817 0.0000 5.2789
Te 3.2494 0.0000 0.7462
Te 8.3603 0.0000 6.6400
Te 9.4674 0.0000 2.3672
Te 14.5783 0.0000 8.2610
Te 15.8461 0.0000 3.7283
```

Properties
**VASP energy**: -5.382 eV per atom
**Uncorrected formation energy**: -1.415 eV per atom
**V**: 409.89 Å³ per cell


Q: Number 1 is which compound?
A: MnTl2Cd


Q: What is the formula in the first record?
A: MnTl2Cd


Q: Look up the V of the second one.
A: 409.89 Å³ per cell